<P>
! TeAsOF2 PBE optimized geometry; values from VASP
&SYSTEM
  ibrav = 0, nat = 5, ntyp = 4
/
ATOMIC_SPECIES
O 16.00 O.upf
F 19.00 F.upf
Te 127.60 Te.upf
As 74.92 As.upf
ATOMIC_POSITIONS angstrom
O 0.0000 0.0000 2.0495
F 0.0000 2.3257 0.0000
F 2.3257 0.0000 0.0000
Te 0.0000 0.0000 0.0000
As 2.3257 2.3257 2.0495
CELL_PARAMETERS angstrom
4.6513 0.0000 0.0000
0.0000 4.6513 0.0000
0.0000 0.0000 4.0990
! SG = P4/mmm



<Q>
! TeAsOF2 PBE optimized geometry; values from VASP
&SYSTEM
  ibrav = 0, nat = 5, ntyp = 4
/
ATOMIC_SPECIES
F 19.00 F.upf
O 16.00 O.upf
Te 127.60 Te.upf
As 74.92 As.upf
ATOMIC_POSITIONS angstrom
F 1.7231 0.4303 -1.0559
F -0.1945 -1.7744 -1.0405
O 1.2457 -1.0723 1.5958
Te 2.7743 -2.4165 -0.5006
As 0.0000 0.0000 0.0000
CELL_PARAMETERS angstrom
-0.3890 -3.5489 -2.0810
3.4461 0.8606 -2.1119
2.4915 -2.1446 3.1917
! SG = P4/mmm



The most stable of them is <Q>.



<P>
! TiAsOF2 PBE optimized geometry; values from VASP
&SYSTEM
  ibrav = 0, nat = 5, ntyp = 4
/
ATOMIC_SPECIES
Ti 47.87 Ti.upf
O 16.00 O.upf
F 19.00 F.upf
As 74.92 As.upf
ATOMIC_POSITIONS angstrom
Ti 0.0000 0.0000 0.0000
O -0.1892 -1.6436 0.9575
F -0.3778 1.0634 1.7507
F -2.0379 -0.0160 -0.4301
As -2.6050 -0.5962 2.2780
CELL_PARAMETERS angstrom
-0.7557 2.1267 3.5014
-4.0758 -0.0320 -0.8602
-0.3784 -3.2872 1.9150
! SG = P4/mmm



<Q>
! TiAsOF2 PBE optimized geometry; values from VASP
&SYSTEM
  ibrav = 0, nat = 5, ntyp = 4
/
ATOMIC_SPECIES
F 19.00 F.upf
As 74.92 As.upf
O 16.00 O.upf
Ti 47.87 Ti.upf
ATOMIC_POSITIONS angstrom
F -2.1174 -0.4536 0.3111
F -0.0814 -0.9653 -1.9615
As 0.0000 0.0000 0.0000
O 0.4940 -1.7346 0.8332
Ti -1.7048 -3.1535 -0.8173
CELL_PARAMETERS angstrom
-4.2348 -0.9072 0.6221
-0.1627 -1.9306 -3.9230
0.9880 -3.4693 1.6664
! SG = P4/mmm



The most stable of them is <P>.



<P>
! TlAsOF2 PBE optimized geometry; values from VASP
&SYSTEM
  ibrav = 0, nat = 5, ntyp = 4
/
ATOMIC_SPECIES
F 19.00 F.upf
Tl 204.38 Tl.upf
O 16.00 O.upf
As 74.92 As.upf
ATOMIC_POSITIONS angstrom
F -1.1509 -1.5144 -1.1755
F -0.6465 1.5973 -1.4248
Tl 0.0000 0.0000 0.0000
O -1.7635 0.3845 1.2313
As -3.5609 0.4675 -1.3691
CELL_PARAMETERS angstrom
-1.2931 3.1947 -2.8496
-2.3018 -3.0287 -2.3510
-3.5270 0.7690 2.4625
! SG = P4/mmm



<Q>
! TlAsOF2 PBE optimized geometry; values from VASP
&SYSTEM
  ibrav = 0, nat = 5, ntyp = 4
/
ATOMIC_SPECIES
Tl 204.38 Tl.upf
F 19.00 F.upf
As 74.92 As.upf
O 16.00 O.upf
ATOMIC_POSITIONS angstrom
Tl -3.6432 -0.1507 -0.8888
F -1.3242 1.7270 -0.6039
F -0.9599 -1.2905 -1.5856
As 0.0000 0.0000 0.0000
O -1.3592 -0.5873 1.3008
CELL_PARAMETERS angstrom
-2.6484 3.4540 -1.2079
-1.9198 -2.5809 -3.1712
-2.7184 -1.1745 2.6015
! SG = P4/mmm



The most stable of them is <Q>.